Computed, not measured: an optimized crystal structure of TmPa2In9 at the PBE level of DFT.

The structure belongs to space group P4/mmm (No. 123); the cell edges are 4.6376, 4.6376 and 13.8748 Å and the angles 90.00°, 90.00° and 90.00°. The asymmetric unit holds Tm at (0.0000, 0.0000, 0.0000), Pa at (0.0000, 0.0000, 0.3321), In at (0.0000, 0.5000, 0.1645), In at (0.0000, 0.5000, 0.5000), In at (0.5000, 0.5000, 0.0000) and In at (0.5000, 0.5000, 0.3334).

Its energy of formation from the pure elements is -20.3 kJ/mol of atoms.



Computed, not measured: an optimized crystal structure of Dy4Er3Co4 at the PBE level of DFT.

The structure belongs to space group Immm (No. 71); the cell edges are 3.5719, 8.7510 and 15.4810 Å and the angles 90.00°, 90.00° and 90.00°. The asymmetric unit holds Dy at (0.0000, 0.1855, 0.1649), Er at (0.0000, 0.0000, 0.3969), Er at (0.0000, 0.5000, 0.5000), Co at (0.0000, 0.2873, 0.0000) and Co at (0.0000, 0.5000, 0.2475).

Its energy of formation from the pure elements is -9.7 kJ/mol of atoms.



Computed, not measured: an optimized crystal structure of RbLaBi at the PBE level of DFT.

The structure belongs to space group R-3m (No. 166, hexagonal axes); the cell edges are 5.3332, 5.3332 and 40.9930 Å and the angles 90.00°, 90.00° and 120.00°. The asymmetric unit holds Rb at (0.0000, 0.0000, 0.1127), La at (0.0000, 0.0000, 0.3035) and Bi at (0.0000, 0.0000, 0.3888).

Its energy of formation from the pure elements is -45.0 kJ/mol of atoms.



Computed, not measured: an optimized crystal structure of PrBiPt10 at the PBE level of DFT.

The structure belongs to space group Pmmm (No. 47); the cell edges are 4.4744, 5.4216 and 9.3254 Å and the angles 90.00°, 90.00° and 90.00°. The asymmetric unit holds Pr at (0.0000, 0.0000, 0.0000), Bi at (0.0000, 0.5000, 0.5000), Pt at (0.0000, 0.0000, 0.3371), Pt at (0.0000, 0.5000, 0.1722), Pt at (0.5000, 0.0000, 0.5000), Pt at (0.5000, 0.2474, 0.2472) and Pt at (0.5000, 0.5000, 0.0000).

Its energy of formation from the pure elements is -36.1 kJ/mol of atoms.



Computed, not measured: an optimized crystal structure of NiBiC3 at the PBE level of DFT.

The structure belongs to space group Pm-3m (No. 221); the cell edges are 3.9333, 3.9333 and 3.9333 Å and the angles 90.00°, 90.00° and 90.00°. The asymmetric unit holds Ni at (0.0000, 0.0000, 0.0000), Bi at (0.5000, 0.5000, 0.5000) and C at (0.0000, 0.0000, 0.5000).

For the relative energy among the computed polymorphs, the calculation gives 0.0000 eV/atom. Its energy of formation from the pure elements is 214.4 kJ/mol of atoms.



Computed, not measured: an optimized crystal structure of AlOs2Br at the PBE level of DFT.

The structure belongs to space group I-4m2 (No. 119); the cell edges are 4.0114, 4.0114 and 7.8172 Å and the angles 90.00°, 90.00° and 90.00°. The asymmetric unit holds Al at (0.0000, 0.0000, 0.0000), Os at (0.0000, 0.0000, 0.5000), Os at (0.0000, 0.5000, 0.2500) and Br at (0.0000, 0.5000, 0.7500).

For the relative energy among the computed polymorphs, the calculation gives 0.7905 eV/atom. The calculation puts the formation energy (no corrections) at 1.051 eV/atom.



Computed, not measured: an optimized crystal structure of BaLaRe2 at the PBE level of DFT.

The structure belongs to space group C2/m (No. 12); the cell edges are 10.8796, 3.9546 and 7.5631 Å and the angles 90.00°, 122.37° and 90.00°. The asymmetric unit holds Ba at (0.0000, 0.0000, 0.0000), La at (0.0000, 0.5000, 0.5000) and Re at (0.2390, 0.5000, 0.4034).

For the relative energy among the computed polymorphs, the calculation gives 0.3845 eV/atom. Its energy of formation from the pure elements is 61.5 kJ/mol of atoms.



Computed, not measured: an optimized crystal structure of CeSi2Pd8 at the PBE level of DFT.

The structure belongs to space group P4/mmm (No. 123); the cell edges are 5.6145, 5.6145 and 6.6312 Å and the angles 90.00°, 90.00° and 90.00°. The asymmetric unit holds Ce at (0.0000, 0.0000, 0.0000), Si at (0.0000, 0.5000, 0.5000) and Pd at (0.2563, 0.2563, 0.2815).

The calculation puts the formation energy (no corrections) at -0.383 eV/atom.



Computed, not measured: an optimized crystal structure of Ac12H5Pb3 at the PBE level of DFT.

The structure belongs to space group Ia-3d (No. 230); the cell edges are 17.4312, 17.4312 and 17.4312 Å and the angles 90.00°, 90.00° and 90.00°. The asymmetric unit holds Ac at (0.0402, 0.0566, 0.6516), H at (0.0000, 0.0000, 0.0000), H at (0.0000, 0.2500, 0.3750) and Pb at (0.0000, 0.2500, 0.1250).

The total energy is -0.1505 Ha/atom.



Computed, not measured: an optimized crystal structure of MgRe2P at the PBE level of DFT.

The structure belongs to space group I4/mmm (No. 139); the cell edges are 3.7303, 3.7303 and 8.6858 Å and the angles 90.00°, 90.00° and 90.00°. The asymmetric unit holds Mg at (0.0000, 0.0000, 0.0000), Re at (0.0000, 0.5000, 0.2500) and P at (0.0000, 0.0000, 0.5000).

For the relative energy among the computed polymorphs, the calculation gives 0.5135 eV/atom. Its energy of formation from the pure elements is 48.2 kJ/mol of atoms.



Computed, not measured: an optimized crystal structure of Al2Ga6W at the PBE level of DFT.

The structure belongs to space group C2/m (No. 12); the cell edges are 14.7496, 8.2581 and 2.9254 Å and the angles 90.00°, 90.19° and 90.00°. The asymmetric unit holds Al at (0.1765, 0.0000, 0.0032), Ga at (0.0912, 0.2191, 0.5022), Ga at (0.1537, 0.5000, 0.0027) and W at (0.0000, 0.5000, 0.5000).

Its energy of formation from the pure elements is 13.4 kJ/mol of atoms.



Computed, not measured: an optimized crystal structure of NaLaCdPb at the PBE level of DFT.

The structure belongs to space group F-43m (No. 216); the cell edges are 7.7651, 7.7651 and 7.7651 Å and the angles 90.00°, 90.00° and 90.00°. The asymmetric unit holds Na at (0.0000, 0.0000, 0.0000), La at (0.0000, 0.0000, 0.5000), Cd at (0.2500, 0.2500, 0.7500) and Pb at (0.2500, 0.2500, 0.2500).

Its energy of formation from the pure elements is -33.8 kJ/mol of atoms.